[1]
# MoSeS | OQMD via LeMat-Bulk | PBE | optimized geometry
# offset from the most stable computed form: 0.8 meV/atom
# calculated volume: 430.69 Å³ per cell
# theoretical density: 3.19 g/cm3
# E_tot: -0.254 Ha/atom
data_MoSeS
_space_group_name_H-M_alt 'A m m 2'
_space_group_IT_number 38
_cell_length_a 3.2447
_cell_length_b 23.6452
_cell_length_c 5.6137
_cell_angle_alpha 90.00
_cell_angle_beta 90.00
_cell_angle_gamma 90.00
loop_
_space_group_symop_operation_xyz
'x,y,z'
'-x,-y,z'
'-x,y,z'
'x,-y,z'
'x,y+1/2,z+1/2'
'-x,-y+1/2,z+1/2'
'-x,y+1/2,z+1/2'
'x,-y+1/2,z+1/2'
loop_
_atom_site_label
_atom_site_type_symbol
_atom_site_fract_x
_atom_site_fract_y
_atom_site_fract_z
Mo1 Mo 0.0000 0.0000 0.0000
Mo2 Mo 0.5000 0.0000 0.4878
Se1 Se 0.5000 0.0714 0.8266
S1 S 0.0000 0.0656 0.3278



[2]
# MoSeS | OQMD via LeMat-Bulk | PBE | optimized geometry
# offset from the most stable computed form: 0.0 meV/atom
# calculated volume: 433.04 Å³ per cell
# theoretical density: 3.17 g/cm3
# E_tot: -0.254 Ha/atom
data_MoSeS
_space_group_name_H-M_alt 'C m m 2'
_space_group_IT_number 35
_cell_length_a 3.2501
_cell_length_b 23.6991
_cell_length_c 5.6222
_cell_angle_alpha 90.00
_cell_angle_beta 90.00
_cell_angle_gamma 90.00
loop_
_space_group_symop_operation_xyz
'x,y,z'
'-x,-y,z'
'-x,y,z'
'x,-y,z'
'x+1/2,y+1/2,z'
'-x+1/2,-y+1/2,z'
'-x+1/2,y+1/2,z'
'x+1/2,-y+1/2,z'
loop_
_atom_site_label
_atom_site_type_symbol
_atom_site_fract_x
_atom_site_fract_y
_atom_site_fract_z
Mo1 Mo 0.0000 0.0000 0.0000
Mo2 Mo 0.0000 0.5000 0.4878
Se1 Se 0.0000 0.4285 0.8266
S1 S 0.0000 0.0655 0.3278



[3]
# MoSeS | OQMD via LeMat-Bulk | PBE | optimized geometry
# offset from the most stable computed form: 12.5 meV/atom
# calculated volume: 178.37 Å³ per cell
# theoretical density: 5.78 g/cm3
# E_tot: -0.254 Ha/atom
data_MoSeS
_space_group_name_H-M_alt 'R 3 m'
_space_group_IT_number 160
_space_group_name_Hall 'R 3 -2"'
_cell_length_a 3.2534
_cell_length_b 3.2534
_cell_length_c 19.4592
_cell_angle_alpha 90.00
_cell_angle_beta 90.00
_cell_angle_gamma 120.00
loop_
_atom_site_label
_atom_site_type_symbol
_atom_site_fract_x
_atom_site_fract_y
_atom_site_fract_z
Mo1 Mo 0.0000 0.0000 0.0000
Se1 Se 0.0000 0.0000 0.4211
S1 S 0.0000 0.0000 0.2549



[4]
# Mo2Se3S | OQMD via LeMat-Bulk | PBE | optimized geometry
# offset from the most stable computed form: 3.5 meV/atom
# calculated volume: 124.70 Å³ per cell
# theoretical density: 6.14 g/cm3
# E_tot: -0.248 Ha/atom
data_Mo2Se3S
_space_group_name_H-M_alt 'P 3 m 1'
_space_group_IT_number 156
_cell_length_a 3.2887
_cell_length_b 3.2887
_cell_length_c 13.3127
_cell_angle_alpha 90.00
_cell_angle_beta 90.00
_cell_angle_gamma 120.00
loop_
_space_group_symop_operation_xyz
'x,y,z'
'-y,x-y,z'
'-x+y,-x,z'
'-y,-x,z'
'-x+y,y,z'
'x,x-y,z'
loop_
_atom_site_label
_atom_site_type_symbol
_atom_site_fract_x
_atom_site_fract_y
_atom_site_fract_z
Mo1 Mo 0.0000 0.0000 0.0000
Mo2 Mo 0.3333 0.6667 0.5051
Se1 Se 0.0000 0.0000 0.3775
Se2 Se 0.3333 0.6667 0.1268
Se3 Se 0.3333 0.6667 0.8731
S1 S 0.0000 0.0000 0.6191



[5]
# Mo2Se3S | OQMD via LeMat-Bulk | PBE | optimized geometry
# offset from the most stable computed form: 0.0 meV/atom
# calculated volume: 452.15 Å³ per cell
# theoretical density: 3.38 g/cm3
# E_tot: -0.249 Ha/atom
data_Mo2Se3S
_space_group_name_H-M_alt 'C 1 m 1'
_space_group_IT_number 8
_cell_length_a 5.6916
_cell_length_b 3.2861
_cell_length_c 24.1747
_cell_angle_alpha 90.00
_cell_angle_beta 90.00
_cell_angle_gamma 90.00
loop_
_space_group_symop_operation_xyz
'x,y,z'
'x,-y,z'
'x+1/2,y+1/2,z'
'x+1/2,-y+1/2,z'
loop_
_atom_site_label
_atom_site_type_symbol
_atom_site_fract_x
_atom_site_fract_y
_atom_site_fract_z
Mo1 Mo 0.0000 0.0000 0.0000
Mo2 Mo 0.0000 0.5000 0.4975
Se1 Se 0.3333 0.0000 0.9297
Se2 Se 0.3333 0.5000 0.4278
Se3 Se 0.3333 0.5000 0.5672
S1 S 0.3333 0.0000 0.0627



[6]
# Mo2Se3S | OQMD via LeMat-Bulk | PBE | optimized geometry
# offset from the most stable computed form: 110.6 meV/atom
# calculated volume: 132.51 Å³ per cell
# theoretical density: 5.77 g/cm3
# E_tot: -0.244 Ha/atom
data_Mo2Se3S
_space_group_name_H-M_alt 'P 1 m 1'
_space_group_IT_number 6
_cell_length_a 5.9525
_cell_length_b 3.2589
_cell_length_c 6.8316
_cell_angle_alpha 90.00
_cell_angle_beta 90.68
_cell_angle_gamma 90.00
loop_
_space_group_symop_operation_xyz
'x,y,z'
'x,-y,z'
loop_
_atom_site_label
_atom_site_type_symbol
_atom_site_fract_x
_atom_site_fract_y
_atom_site_fract_z
Mo1 Mo 0.0000 0.0000 0.0000
Mo2 Mo 0.3796 0.5000 0.0254
Se1 Se 0.1051 0.5000 0.7367
Se2 Se 0.6132 0.0000 0.8055
Se3 Se 0.7679 0.5000 0.2228
S1 S 0.2750 0.0000 0.2631



[7]
# SrMo6S8 | OQMD via LeMat-Bulk | PBE | optimized geometry
# calculated volume: 287.10 Å³ per cell
# theoretical density: 5.32 g/cm3
# E_tot: -0.277 Ha/atom
data_SrMo6S8
_space_group_name_H-M_alt 'P -1'
_space_group_IT_number 2
_cell_length_a 6.5977
_cell_length_b 6.5980
_cell_length_c 6.5981
_cell_angle_alpha 89.16
_cell_angle_beta 89.01
_cell_angle_gamma 88.88
loop_
_space_group_symop_operation_xyz
'x,y,z'
'-x,-y,-z'
loop_
_atom_site_label
_atom_site_type_symbol
_atom_site_fract_x
_atom_site_fract_y
_atom_site_fract_z
Sr1 Sr 0.0000 0.0000 0.0000
Mo1 Mo 0.2282 0.4180 0.5623
Mo2 Mo 0.4176 0.5619 0.2279
Mo3 Mo 0.4371 0.7721 0.5828
S1 S 0.1257 0.7413 0.3834
S2 S 0.2457 0.2450 0.2449
S3 S 0.2582 0.6167 0.8745
S4 S 0.3843 0.1265 0.7405



[8]
# TaMoS | OQMD via LeMat-Bulk | PBE | optimized geometry
# calculated volume: 91.77 Å³ per cell
# theoretical density: 11.18 g/cm3
# E_tot: -0.328 Ha/atom
data_TaMoS
_space_group_name_H-M_alt 'P 4/n m m'
_space_group_IT_number 129
_cell_length_a 3.6935
_cell_length_b 3.6935
_cell_length_c 6.7268
_cell_angle_alpha 90.00
_cell_angle_beta 90.00
_cell_angle_gamma 90.00
loop_
_space_group_symop_operation_xyz
'x,y,z'
'-x,-y,-z'
'-y+1/2,x,z'
'y+1/2,-x,-z'
'-x+1/2,-y+1/2,z'
'x+1/2,y+1/2,-z'
'y,-x+1/2,z'
'-y,x+1/2,-z'
'x+1/2,-y,-z'
'-x+1/2,y,z'
'-y,-x,-z'
'y,x,z'
'-x,y+1/2,-z'
'x,-y+1/2,z'
'y+1/2,x+1/2,-z'
'-y+1/2,-x+1/2,z'
loop_
_atom_site_label
_atom_site_type_symbol
_atom_site_fract_x
_atom_site_fract_y
_atom_site_fract_z
Ta1 Ta 0.2500 0.2500 0.1608
Mo1 Mo 0.2500 0.7500 0.5000
S1 S 0.2500 0.2500 0.7911



[9]
# TeMo2S3 | OQMD via LeMat-Bulk | PBE | optimized geometry
# calculated volume: 124.51 Å³ per cell
# theoretical density: 5.54 g/cm3
# E_tot: -0.252 Ha/atom
data_TeMo2S3
_space_group_name_H-M_alt 'P 3 m 1'
_space_group_IT_number 156
_cell_length_a 3.2753
_cell_length_b 3.2753
_cell_length_c 13.4024
_cell_angle_alpha 90.00
_cell_angle_beta 90.00
_cell_angle_gamma 120.00
loop_
_space_group_symop_operation_xyz
'x,y,z'
'-y,x-y,z'
'-x+y,-x,z'
'-y,-x,z'
'-x+y,y,z'
'x,x-y,z'
loop_
_atom_site_label
_atom_site_type_symbol
_atom_site_fract_x
_atom_site_fract_y
_atom_site_fract_z
Te1 Te 0.0000 0.0000 0.0000
Mo1 Mo 0.0000 0.0000 0.3695
Mo2 Mo 0.3333 0.6667 0.8548
S1 S 0.0000 0.0000 0.7429
S2 S 0.3333 0.6667 0.2549
S3 S 0.3333 0.6667 0.4842



[10]
# ThMo6S8 | OQMD via LeMat-Bulk | PBE | optimized geometry
# calculated volume: 824.92 Å³ per cell
# theoretical density: 6.43 g/cm3
# E_tot: -0.293 Ha/atom
data_ThMo6S8
_space_group_name_H-M_alt 'R -3'
_space_group_IT_number 148
_space_group_name_Hall '-R 3'
_cell_length_a 9.1041
_cell_length_b 9.1041
_cell_length_c 11.4924
_cell_angle_alpha 90.00
_cell_angle_beta 90.00
_cell_angle_gamma 120.00
loop_
_atom_site_label
_atom_site_type_symbol
_atom_site_fract_x
_atom_site_fract_y
_atom_site_fract_z
Th1 Th 0.0000 0.0000 0.0000
Mo1 Mo 0.0187 0.8404 0.4028
S1 S 0.0000 0.0000 0.2417
S2 S 0.0039 0.3814 0.7499



[11]
# TlMo3S5 | OQMD via LeMat-Bulk | PBE | optimized geometry
# calculated volume: 197.16 Å³ per cell
# theoretical density: 5.50 g/cm3
# E_tot: -0.237 Ha/atom
data_TlMo3S5
_space_group_name_H-M_alt 'P 6/m m m'
_space_group_IT_number 191
_space_group_name_Hall '-P 6 2'
_cell_length_a 5.6454
_cell_length_b 5.6454
_cell_length_c 7.1432
_cell_angle_alpha 90.00
_cell_angle_beta 90.00
_cell_angle_gamma 120.00
loop_
_atom_site_label
_atom_site_type_symbol
_atom_site_fract_x
_atom_site_fract_y
_atom_site_fract_z
Tl1 Tl 0.0000 0.0000 0.0000
Mo1 Mo 0.0000 0.5000 0.5000
S1 S 0.0000 0.0000 0.5000
S2 S 0.3333 0.6667 0.2451



[12]
# Tl3MoS4 | OQMD via LeMat-Bulk | PBE | optimized geometry
# calculated volume: 468.33 Å³ per cell
# theoretical density: 5.94 g/cm3
# E_tot: -0.174 Ha/atom
data_Tl3MoS4
_space_group_name_H-M_alt 'P 1'
_space_group_IT_number 1
_cell_length_a 6.3873
_cell_length_b 6.5517
_cell_length_c 11.8902
_cell_angle_alpha 95.33
_cell_angle_beta 98.72
_cell_angle_gamma 105.87
loop_
_space_group_symop_operation_xyz
'x,y,z'
loop_
_atom_site_label
_atom_site_type_symbol
_atom_site_fract_x
_atom_site_fract_y
_atom_site_fract_z
Tl1 Tl 0.0000 0.0000 0.0000
Tl2 Tl 0.0293 0.9760 0.4762
Tl3 Tl 0.2617 0.6725 0.2012
Tl4 Tl 0.3329 0.7909 0.7718
Tl5 Tl 0.5533 0.4772 0.4962
Tl6 Tl 0.5971 0.4669 0.9749
Mo1 Mo 0.7338 0.2064 0.2409
Mo2 Mo 0.8602 0.2579 0.7337
S1 S 0.0121 0.4245 0.5954
S2 S 0.0459 0.4292 0.9094
S3 S 0.0833 0.1949 0.2565
S4 S 0.5106 0.2691 0.7192
S5 S 0.5501 0.0368 0.0644
S6 S 0.5791 0.0377 0.3779
S7 S 0.7378 0.5500 0.2531
S8 S 0.8550 0.9139 0.7219



[13]
# Tl3MoS4 | OQMD via LeMat-Bulk | PBE | optimized geometry
# calculated volume: 454.76 Å³ per cell
# theoretical density: 6.12 g/cm3
# E_tot: -0.174 Ha/atom
data_Tl3MoS4
_space_group_name_H-M_alt 'I -4 3 m'
_space_group_IT_number 217
_space_group_name_Hall 'I -4 2 3'
_cell_length_a 7.6900
_cell_length_b 7.6900
_cell_length_c 7.6900
_cell_angle_alpha 90.00
_cell_angle_beta 90.00
_cell_angle_gamma 90.00
loop_
_atom_site_label
_atom_site_type_symbol
_atom_site_fract_x
_atom_site_fract_y
_atom_site_fract_z
Tl1 Tl 0.0000 0.0000 0.5000
Mo1 Mo 0.0000 0.0000 0.0000
S1 S 0.1690 0.1690 0.8310



[14]
# Tl2MoS3 | OQMD via LeMat-Bulk | PBE | optimized geometry
# calculated volume: 292.52 Å³ per cell
# theoretical density: 6.82 g/cm3
# E_tot: -0.185 Ha/atom
data_Tl2MoS3
_space_group_name_H-M_alt 'P 1 21/m 1'
_space_group_IT_number 11
_cell_length_a 7.6992
_cell_length_b 3.7598
_cell_length_c 10.1794
_cell_angle_alpha 90.00
_cell_angle_beta 96.92
_cell_angle_gamma 90.00
loop_
_space_group_symop_operation_xyz
'x,y,z'
'-x,-y,-z'
'-x,y+1/2,-z'
'x,-y+1/2,z'
loop_
_atom_site_label
_atom_site_type_symbol
_atom_site_fract_x
_atom_site_fract_y
_atom_site_fract_z
Tl1 Tl 0.0712 0.2500 0.1533
Tl2 Tl 0.2533 0.7500 0.5063
Mo1 Mo 0.4184 0.2500 0.8376
S1 S 0.1424 0.2500 0.7012
S2 S 0.3245 0.7500 0.9809
S3 S 0.4545 0.2500 0.2757



[15]
# UMo6S8 | OQMD via LeMat-Bulk | PBE | optimized geometry
# calculated volume: 805.58 Å³ per cell
# theoretical density: 6.62 g/cm3
# E_tot: -0.298 Ha/atom
data_UMo6S8
_space_group_name_H-M_alt 'R -3'
_space_group_IT_number 148
_space_group_name_Hall '-R 3'
_cell_length_a 9.0270
_cell_length_b 9.0270
_cell_length_c 11.4153
_cell_angle_alpha 90.00
_cell_angle_beta 90.00
_cell_angle_gamma 120.00
loop_
_atom_site_label
_atom_site_type_symbol
_atom_site_fract_x
_atom_site_fract_y
_atom_site_fract_z
U1 U 0.0000 0.0000 0.0000
Mo1 Mo 0.0192 0.1801 0.4016
S1 S 0.0000 0.0000 0.2394
S2 S 0.0076 0.6241 0.7508



[16]
# MoWS4 | OQMD via LeMat-Bulk | PBE | optimized geometry
# offset from the most stable computed form: 0.4 meV/atom
# calculated volume: 240.93 Å³ per cell
# theoretical density: 5.62 g/cm3
# E_tot: -0.278 Ha/atom
data_MoWS4
_space_group_name_H-M_alt 'C m m 2'
_space_group_IT_number 35
_cell_length_a 3.1844
_cell_length_b 13.7208
_cell_length_c 5.5143
_cell_angle_alpha 90.00
_cell_angle_beta 90.00
_cell_angle_gamma 90.00
loop_
_space_group_symop_operation_xyz
'x,y,z'
'-x,-y,z'
'-x,y,z'
'x,-y,z'
'x+1/2,y+1/2,z'
'-x+1/2,-y+1/2,z'
'-x+1/2,y+1/2,z'
'x+1/2,-y+1/2,z'
loop_
_atom_site_label
_atom_site_type_symbol
_atom_site_fract_x
_atom_site_fract_y
_atom_site_fract_z
Mo1 Mo 0.0000 0.0000 0.0000
W1 W 0.0000 0.5000 0.4980
S1 S 0.0000 0.1142 0.6653
S2 S 0.0000 0.3857 0.1662



[17]
# MoWS4 | OQMD via LeMat-Bulk | PBE | optimized geometry
# offset from the most stable computed form: 0.0 meV/atom
# calculated volume: 307.88 Å³ per cell
# theoretical density: 4.40 g/cm3
# E_tot: -0.278 Ha/atom
data_MoWS4
_space_group_name_H-M_alt 'A m m 2'
_space_group_IT_number 38
_cell_length_a 3.1778
_cell_length_b 17.6017
_cell_length_c 5.5044
_cell_angle_alpha 90.00
_cell_angle_beta 90.00
_cell_angle_gamma 90.00
loop_
_space_group_symop_operation_xyz
'x,y,z'
'-x,-y,z'
'-x,y,z'
'x,-y,z'
'x,y+1/2,z+1/2'
'-x,-y+1/2,z+1/2'
'-x,y+1/2,z+1/2'
'x,-y+1/2,z+1/2'
loop_
_atom_site_label
_atom_site_type_symbol
_atom_site_fract_x
_atom_site_fract_y
_atom_site_fract_z
Mo1 Mo 0.0000 0.0000 0.0000
W1 W 0.5000 0.0000 0.4967
S1 S 0.0000 0.0890 0.6646
S2 S 0.5000 0.0890 0.1654



[18]
# MoWS4 | OQMD via LeMat-Bulk | PBE | optimized geometry
# offset from the most stable computed form: 2.3 meV/atom
# calculated volume: 373.69 Å³ per cell
# theoretical density: 3.63 g/cm3
# E_tot: -0.278 Ha/atom
data_MoWS4
_space_group_name_H-M_alt 'A m m 2'
_space_group_IT_number 38
_cell_length_a 21.2696
_cell_length_b 3.1849
_cell_length_c 5.5163
_cell_angle_alpha 90.00
_cell_angle_beta 90.00
_cell_angle_gamma 90.00
loop_
_space_group_symop_operation_xyz
'x,y,z'
'-x,-y,z'
'-x,y,z'
'x,-y,z'
'x,y+1/2,z+1/2'
'-x,-y+1/2,z+1/2'
'-x,y+1/2,z+1/2'
'x,-y+1/2,z+1/2'
loop_
_atom_site_label
_atom_site_type_symbol
_atom_site_fract_x
_atom_site_fract_y
_atom_site_fract_z
Mo1 Mo 0.0000 0.0000 0.0000
W1 W 0.5000 0.0000 0.5000
S1 S 0.0736 0.0000 0.3334
S2 S 0.4261 0.0000 0.8334



[19]
# Zr2MoS | OQMD via LeMat-Bulk | PBE | optimized geometry
# calculated volume: 306.00 Å³ per cell
# theoretical density: 6.74 g/cm3
# E_tot: -0.313 Ha/atom
data_Zr2MoS
_space_group_name_H-M_alt 'C 1 2/m 1'
_space_group_IT_number 12
_cell_length_a 5.7978
_cell_length_b 3.3585
_cell_length_c 15.7147
_cell_angle_alpha 90.00
_cell_angle_beta 90.09
_cell_angle_gamma 90.00
loop_
_space_group_symop_operation_xyz
'x,y,z'
'-x,-y,-z'
'-x,y,-z'
'x,-y,z'
'x+1/2,y+1/2,z'
'-x+1/2,-y+1/2,-z'
'-x+1/2,y+1/2,-z'
'x+1/2,-y+1/2,z'
loop_
_atom_site_label
_atom_site_type_symbol
_atom_site_fract_x
_atom_site_fract_y
_atom_site_fract_z
Zr1 Zr 0.1607 0.0000 0.3806
Zr2 Zr 0.1628 0.0000 0.1194
Mo1 Mo 0.0077 0.5000 0.7500
S1 S 0.0000 0.5000 0.0000
S2 S 0.0000 0.5000 0.5000



[20]
# Sb7Mo3 | OQMD via LeMat-Bulk | PBE | optimized geometry
# calculated volume: 898.76 Å³ per cell
# theoretical density: 8.43 g/cm3
# E_tot: -0.226 Ha/atom
data_Sb7Mo3
_space_group_name_H-M_alt 'I m -3 m'
_space_group_IT_number 229
_space_group_name_Hall '-I 4 2 3'
_cell_length_a 9.6505
_cell_length_b 9.6505
_cell_length_c 9.6505
_cell_angle_alpha 90.00
_cell_angle_beta 90.00
_cell_angle_gamma 90.00
loop_
_atom_site_label
_atom_site_type_symbol
_atom_site_fract_x
_atom_site_fract_y
_atom_site_fract_z
Sb1 Sb 0.0000 0.2500 0.5000
Sb2 Sb 0.1610 0.1610 0.1610
Mo1 Mo 0.0000 0.0000 0.3421